Record 1
Below is a geometry-optimized CuTcMo2 structure, with properties calculated at the PBE level.

Volume   59 Å³/f.u.
Size of the total moment   0.0 μB per formula unit
Energy of formation from the pure elements   0.17 eV/atom
SG   Cmm2, No. 35
Offset from the most stable computed form   0.10 eV per formula unit

a = 2.669 Å, b = 2.669 Å, c = 8.662 Å
α = 90.00°, β = 90.00°, γ = 106.48°
Positions (direct):
1 Mo 0.000 0.000 0.993
2 Mo 0.500 0.500 0.253
3 Tc 0.000 0.000 0.506
4 Cu 0.500 0.500 0.748

Record 2
Below is a geometry-optimized Nd12Hg6C structure, with properties calculated at the PBE level.

Volume   588 Å³/f.u.
Size of the total moment   0.0 μB per formula unit
Energy of formation from the pure elements   -0.26 eV/atom
SG   R-3, No. 148

a = 8.415 Å, b = 8.415 Å, c = 8.415 Å
α = 95.09°, β = 95.09°, γ = 95.09°
Positions (direct):
1 Nd 0.197 0.420 0.536
2 Nd 0.967 0.078 0.292
3 Nd 0.708 0.033 0.922
4 Hg 0.745 0.353 0.148
5 Nd 0.292 0.967 0.078
6 Nd 0.420 0.536 0.197
7 C 0.000 0.000 0.000
8 Nd 0.536 0.197 0.420
9 Hg 0.255 0.647 0.852
10 Nd 0.033 0.922 0.708
11 Hg 0.148 0.745 0.353
12 Nd 0.803 0.580 0.464
13 Hg 0.647 0.852 0.255
14 Nd 0.922 0.708 0.033
15 Nd 0.580 0.464 0.803
16 Hg 0.353 0.148 0.745
17 Nd 0.078 0.292 0.967
18 Hg 0.852 0.255 0.647
19 Nd 0.464 0.803 0.580